DFT (GGA-PBE) results for a relaxed structure of La3DyH8.

Calculated values
* space group: Pm-3m, No. 221
* crystal system: cubic
* total energy: -4.517 eV/atom
* total moment: 0.00 Bohr magnetons per cell

Geometry as CIF:
```
data_La3DyH8
_symmetry_space_group_name_H-M 'P 1'
_symmetry_Int_Tables_number 1
_cell_length_a 5.5160
_cell_length_b 5.5160
_cell_length_c 5.5160
_cell_angle_alpha 90.00
_cell_angle_beta 90.00
_cell_angle_gamma 90.00
loop_
_symmetry_equiv_pos_as_xyz
'x,y,z'
loop_
_atom_site_label
_atom_site_type_symbol
_atom_site_fract_x
_atom_site_fract_y
_atom_site_fract_z
H1 H 0.7621 0.2379 0.7621
H2 H 0.2379 0.2379 0.7621
H3 H 0.2379 0.7621 0.2379
Dy1 Dy 0.0000 0.0000 0.0000
H4 H 0.7621 0.7621 0.7621
H5 H 0.7621 0.7621 0.2379
H6 H 0.7621 0.2379 0.2379
La1 La 0.5000 0.0000 0.5000
La2 La 0.5000 0.5000 0.0000
H7 H 0.2379 0.7621 0.7621
H8 H 0.2379 0.2379 0.2379
La3 La 0.0000 0.5000 0.5000
```



DFT (GGA-PBE) results for a relaxed structure of LaDyH2.

Calculated values
* energy above the lowest structure with this stoichiometry: 84 meV per atom
* space group: R3m, No. 160
* crystal system: trigonal
* total energy: -4.365 eV/atom
* total moment: 0.00 Bohr magnetons per cell

Geometry as CIF:
```
data_LaDyH2
_symmetry_space_group_name_H-M 'P 1'
_symmetry_Int_Tables_number 1
_cell_length_a 3.5478
_cell_length_b 3.5478
_cell_length_c 6.4651
_cell_angle_alpha 74.07
_cell_angle_beta 74.07
_cell_angle_gamma 60.00
loop_
_symmetry_equiv_pos_as_xyz
'x,y,z'
loop_
_atom_site_label
_atom_site_type_symbol
_atom_site_fract_x
_atom_site_fract_y
_atom_site_fract_z
Dy1 Dy 0.6682 0.6682 0.9953
H1 H 0.0690 0.0690 0.7930
La1 La 0.4923 0.4923 0.5231
H2 H 0.2705 0.2705 0.1886
```